(1)
Compound: DyYGa2
Source: Alexandria
Functional: PBE
Structure: relaxed

a b c (Å): 4.363 4.048 5.872
angles (deg): 90.00 111.79 90.00
Sites, in units of the cell vectors:
1 Ga 0.159 0.500 0.858
2 Ga 0.007 0.000 0.551
3 Y 0.444 0.500 0.426
4 Dy 0.722 0.000 0.983

- Fermi-level density of states: 0.78 states/eV/atom
- V: 96 Å³/cell
- Formation energy from the elements: -0.65 eV per atom

***

(2)
Compound: KSm2Er
Source: Alexandria
Functional: PBE
Structure: relaxed

a b c (Å): 3.618 3.618 13.480
angles (deg): 82.29 82.29 60.00
Sites, in units of the cell vectors:
1 K 0.000 0.000 0.000
2 Er 0.500 0.500 0.500
3 Sm 0.904 0.904 0.288
4 Sm 0.096 0.096 0.712

- Fermi-level density of states: 1.07 states/eV/atom
- V: 151 Å³/cell
- Formation energy from the elements: 0.21 eV per atom

***

(3)
Compound: K3Tm2MnS6
Source: Alexandria
Functional: PBE
Structure: relaxed

a b c (Å): 6.713 6.713 7.721
angles (deg): 99.23 99.23 118.19
Site moments in Bohr magnetons follow the coordinates.
Sites, in units of the cell vectors:
1 S 0.367 0.061 0.185  -0.03
2 S 0.633 0.939 0.815  -0.03
3 S 0.061 0.367 0.185  -0.03
4 S 0.733 0.733 0.211  0.04
5 S 0.267 0.267 0.789  0.04
6 S 0.939 0.633 0.815  -0.03
7 K 0.170 0.830 0.500  0.00
8 K 0.500 0.500 0.500  0.00
9 K 0.830 0.170 0.500  0.00
10 Tm 0.337 0.663 0.000  0.03
11 Tm 0.663 0.337 0.000  0.03
12 Mn 0.000 0.000 0.000  3.73

- Formation energy without anion corrections: -1.489 eV/atom
- Fermi-level density of states: 0.01 states/eV/atom
- V: 291 Å³/cell